(1)
Here is crystalline NaZr2Zn2 at its relaxed geometry from the Alexandria database. Energies are from GGA-PBE.

Computed properties:
The value obtained for the magnetic moment is 0.0 μB/cell. As for the energy of formation: 0.06 eV per atom.

Unit cell a=8.2191 b=8.2191 c=3.0477 alpha=90.00 beta=90.00 gamma=90.00
With the nearest neighbours (Å) after each atom.
Positions (direct):
Zn (0.6253, 0.1253, 0.0000)  6 Zr 2.85-2.87, 3 Zn 2.91-3.05
Zn (0.3747, 0.8747, 0.0000)  6 Zr 2.85-2.87, 3 Zn 2.91-3.05
Zn (0.8747, 0.6253, 0.0000)  6 Zr 2.85-2.87, 3 Zn 2.91-3.05
Zn (0.1253, 0.3747, 0.0000)  6 Zr 2.85-2.87, 3 Zn 2.91-3.05
Na (0.5000, 0.5000, 0.0000)  2 Na 3.05, 4 Zn 3.25
Na (0.0000, 0.0000, 0.0000)  2 Na 3.05, 4 Zn 3.25
Zr (0.1671, 0.6671, 0.5000)  6 Zn 2.85-2.87, 2 Zr 3.05
Zr (0.6671, 0.8329, 0.5000)  6 Zn 2.85-2.87, 2 Zr 3.05
Zr (0.3329, 0.1671, 0.5000)  6 Zn 2.85-2.87, 2 Zr 3.05
Zr (0.8329, 0.3329, 0.5000)  6 Zn 2.85-2.87, 2 Zr 3.05

(2)
Here is crystalline LaTbH at its relaxed geometry from the Alexandria database. Energies are from GGA-PBE.

Computed properties:
The value obtained for the magnetic moment is 0.0 μB/cell. The total DFT energy (no corrections) is -4.366 eV per atom.

Unit cell a=5.9841 b=6.8001 c=7.6493 alpha=90.00 beta=90.00 gamma=90.00
With the nearest neighbours (Å) after each atom.
Positions (direct):
Tb (0.2500, 0.4102, 0.8842)  1 H 2.10
Tb (0.2500, 0.9102, 0.6158)  1 H 2.10
Tb (0.7500, 0.0898, 0.3842)  1 H 2.10
Tb (0.7500, 0.5898, 0.1158)  1 H 2.10
La (0.2500, 0.9025, 0.1378)  2 H 2.24-2.27
La (0.7500, 0.5975, 0.6378)  2 H 2.24-2.27
La (0.7500, 0.0975, 0.8622)  2 H 2.24-2.27
La (0.2500, 0.4025, 0.3622)  2 H 2.24-2.27
H (0.2500, 0.2307, 0.1076)  1 Tb 2.10, 2 La 2.24-2.27
H (0.7500, 0.7693, 0.8924)  1 Tb 2.10, 2 La 2.24-2.27
H (0.7500, 0.2693, 0.6076)  1 Tb 2.10, 2 La 2.24-2.27
H (0.2500, 0.7307, 0.3924)  1 Tb 2.10, 2 La 2.24-2.27

(3)
Here is crystalline Sm4Tm2Cd at its relaxed geometry from the Alexandria database. Energies are from GGA-PBE.

Computed properties:
The value obtained for the magnetic moment is 0.0 μB/cell. As for the energy of formation: 0.03 eV per atom.

Unit cell a=3.5183 b=8.5565 c=8.4769 alpha=116.78 beta=101.98 gamma=90.00
With the nearest neighbours (Å) after each atom.
Positions (direct):
Sm (0.3677, 0.6072, 0.7354)  8 Sm 3.52-3.89, 2 Cd 3.52, 3 Tm 3.55-3.61
Sm (0.6323, 0.3928, 0.2646)  8 Sm 3.52-3.89, 2 Cd 3.52, 3 Tm 3.55-3.61
Sm (0.0830, 0.7044, 0.1661)  5 Sm 3.31-3.59, 3 Tm 3.34-3.43, 1 Cd 3.39
Sm (0.9170, 0.2956, 0.8339)  5 Sm 3.31-3.59, 3 Tm 3.34-3.43, 1 Cd 3.39
Tm (0.2172, 0.1391, 0.4343)  1 Cd 3.23, 6 Sm 3.34-3.61, 4 Tm 3.51-3.52
Tm (0.7828, 0.8609, 0.5657)  1 Cd 3.23, 6 Sm 3.34-3.61, 4 Tm 3.51-3.52
Cd (0.0000, 0.0000, 0.0000)  2 Tm 3.23, 6 Sm 3.39-3.52, 2 Cd 3.52

(4)
Here is crystalline Zr4MnCu at its relaxed geometry from the Alexandria database. Energies are from GGA-PBE.

Computed properties:
The value obtained for the magnetic moment is 3.9 μB/cell. As for the energy of formation: 0.62 eV per atom.

Unit cell a=5.6730 b=5.6730 c=5.6730 alpha=60.00 beta=60.00 gamma=60.00
With the nearest neighbours (Å) after each atom.
Positions (direct):
Zr (0.8773, 0.3742, 0.3742)  6 Zr 2.82-2.85
Zr (0.3742, 0.8773, 0.3742)  6 Zr 2.82-2.85
Zr (0.3742, 0.3742, 0.8773)  6 Zr 2.82-2.85
Zr (0.3742, 0.3742, 0.3742)  6 Zr 2.82-2.85
Mn (0.0000, 0.0000, 0.0000)  12 Zr 3.32, 4 Cu 3.47
Cu (0.7500, 0.7500, 0.7500)  12 Zr 3.33, 4 Mn 3.47

(5)
Here is crystalline YSc2Cr at its relaxed geometry from the Alexandria database. Energies are from GGA-PBE.

Computed properties:
The value obtained for the magnetic moment is 2.7 μB/cell. As for the energy of formation: 0.26 eV per atom.

Unit cell a=4.8350 b=4.4115 c=4.4115 alpha=90.00 beta=90.00 gamma=90.00
With the nearest neighbours (Å) after each atom.
Positions (direct):
Y (0.5000, 0.5000, 0.0000)  4 Cr 3.12, 8 Sc 3.27
Sc (0.0000, 0.0000, 0.0000)  4 Sc 3.12, 4 Cr 3.27, 4 Y 3.27
Sc (0.0000, 0.5000, 0.5000)  4 Sc 3.12, 4 Cr 3.27, 4 Y 3.27
Cr (0.5000, 0.0000, 0.5000)  4 Y 3.12, 8 Sc 3.27

(6)
Here is crystalline KZnIrAuO at its relaxed geometry from the Alexandria database. Energies are from GGA-PBE.

Computed properties:
The value obtained for the magnetic moment is 0.0 μB/cell. As for the uncorrected formation energy: -383 meV/atom.

Unit cell a=2.8441 b=4.5003 c=15.6823 alpha=90.00 beta=90.00 gamma=90.00
With the nearest neighbours (Å) after each atom.
Positions (direct):
Zn (0.5000, 0.5000, 0.8233)  2 O 1.92
Zn (0.5000, 0.0000, 0.3233)  2 O 1.92
Ir (0.0000, 0.0000, 0.1853)  2 Zn 2.59, 4 Au 2.67, 2 Ir 2.84
Ir (0.0000, 0.5000, 0.6853)  2 Zn 2.59, 4 Au 2.67, 2 Ir 2.84
Au (0.5000, 0.5000, 0.1688)  4 Ir 2.67, 2 Au 2.84
Au (0.5000, 0.0000, 0.6688)  4 Ir 2.67, 2 Au 2.84
K (0.5000, 0.0000, 0.9771)  2 K 2.84, 4 O 2.89
K (0.5000, 0.5000, 0.4771)  2 K 2.84, 4 O 2.89
O (0.0000, 0.5000, 0.9058)  2 Zn 1.92
O (0.0000, 0.0000, 0.4058)  2 Zn 1.92

(7)
Here is crystalline Tb19Sm4Er6 at its relaxed geometry from the Alexandria database. Energies are from GGA-PBE.

Computed properties:
The value obtained for the magnetic moment is 0.0 μB/cell. As for the energy of formation: 0.39 eV per atom.

Unit cell a=10.8026 b=10.8024 c=10.8024 alpha=109.47 beta=109.47 gamma=109.47
With the nearest neighbours (Å) after each atom.
Positions (direct):
Tb (0.2026, 0.2162, 0.5425)  1 Er 3.18, 2 Sm 3.34-3.42, 2 Tb 3.39-3.55
Tb (0.4575, 0.6737, 0.6601)  1 Er 3.18, 2 Sm 3.34-3.42, 2 Tb 3.39-3.55
Tb (0.2162, 0.5425, 0.2026)  1 Er 3.18, 2 Sm 3.34-3.42, 2 Tb 3.39-3.55
Tb (0.7380, 0.0000, 0.7380)  5 Tb 3.27-3.55, 2 Sm 3.33, 2 Er 3.36
Tb (0.3263, 0.7838, 0.9865)  1 Er 3.18, 2 Sm 3.34-3.42, 2 Tb 3.39-3.55
Tb (0.6601, 0.4575, 0.6737)  1 Er 3.18, 2 Sm 3.34-3.42, 2 Tb 3.39-3.55
Tb (0.0135, 0.7974, 0.3399)  1 Er 3.18, 2 Sm 3.34-3.42, 2 Tb 3.39-3.55
Tb (0.5425, 0.2026, 0.2162)  1 Er 3.18, 2 Sm 3.34-3.42, 2 Tb 3.39-3.55
Tb (0.2620, 0.0000, 0.2620)  5 Tb 3.27-3.55, 2 Sm 3.33, 2 Er 3.36
Tb (0.3399, 0.0135, 0.7974)  1 Er 3.18, 2 Sm 3.34-3.42, 2 Tb 3.39-3.55
Tb (0.6737, 0.6601, 0.4575)  1 Er 3.18, 2 Sm 3.34-3.42, 2 Tb 3.39-3.55
Tb (0.2620, 0.2620, 0.0000)  5 Tb 3.27-3.55, 2 Sm 3.33, 2 Er 3.36
Tb (0.7838, 0.9865, 0.3263)  1 Er 3.18, 2 Sm 3.34-3.42, 2 Tb 3.39-3.55
Tb (0.9865, 0.3263, 0.7838)  1 Er 3.18, 2 Sm 3.34-3.42, 2 Tb 3.39-3.55
Tb (0.0000, 0.7380, 0.7380)  5 Tb 3.27-3.55, 2 Sm 3.33, 2 Er 3.36
Tb (0.7974, 0.3399, 0.0135)  1 Er 3.18, 2 Sm 3.34-3.42, 2 Tb 3.39-3.55
Tb (0.7380, 0.7380, 0.0000)  5 Tb 3.27-3.55, 2 Sm 3.33, 2 Er 3.36
Tb (0.0000, 0.2620, 0.2620)  5 Tb 3.27-3.55, 2 Sm 3.33, 2 Er 3.36
Tb (0.0000, 0.0000, 0.0000)  6 Tb 3.27
Er (0.5000, 0.8744, 0.3744)  1 Er 3.13, 4 Tb 3.18-3.36
Er (0.5000, 0.1256, 0.6256)  1 Er 3.13, 4 Tb 3.18-3.36
Er (0.6256, 0.5000, 0.1256)  1 Er 3.13, 4 Tb 3.18-3.36
Er (0.3744, 0.5000, 0.8744)  1 Er 3.13, 4 Tb 3.18-3.36
Er (0.1256, 0.6256, 0.5000)  1 Er 3.13, 4 Tb 3.18-3.36
Er (0.8744, 0.3744, 0.5000)  1 Er 3.13, 4 Tb 3.18-3.36
Sm (0.0000, 0.6406, 0.0000)  9 Tb 3.33-3.42
Sm (0.0000, 0.0000, 0.6406)  9 Tb 3.33-3.42
Sm (0.6406, 0.0000, 0.0000)  9 Tb 3.33-3.42
Sm (0.3594, 0.3594, 0.3594)  9 Tb 3.33-3.42

(8)
Here is crystalline AlPt2W at its relaxed geometry from the Alexandria database. Energies are from GGA-PBE.

Computed properties:
The value obtained for the magnetic moment is 0.0 μB/cell. As for the energy of formation: -0.44 eV per atom.

Unit cell a=2.8473 b=2.8473 c=7.5660 alpha=90.00 beta=90.00 gamma=90.00
With the nearest neighbours (Å) after each atom.
Positions (direct):
W (0.0000, 0.0000, 0.5034)  4 Pt 2.72, 4 Al 2.80, 4 W 2.85
Al (0.5000, 0.5000, 0.7598)  4 Pt 2.59, 4 W 2.80, 4 Al 2.85
Pt (0.5000, 0.5000, 0.2625)  4 W 2.72, 8 Pt 2.85-2.97
Pt (0.0000, 0.0000, 0.9743)  4 Al 2.59, 4 Pt 2.85

(9)
Here is crystalline Ba3Na5I12 at its relaxed geometry from the Alexandria database. Energies are from GGA-PBE.

Computed properties:
The value obtained for the magnetic moment is 0.0 μB/cell. As for the uncorrected formation energy: -1355 meV/atom.

Unit cell a=16.8221 b=16.8221 c=16.8221 alpha=109.47 beta=109.47 gamma=109.47
With the nearest neighbours (Å) after each atom.
Positions (direct):
Na (0.7500, 0.1250, 0.8750)  4 I 3.02
Na (0.3750, 0.2500, 0.1250)  4 I 3.02
Na (0.0000, 0.5000, 0.5000)  6 I 3.26
Na (0.3750, 0.1250, 0.7500)  4 I 3.02
Na (0.2500, 0.3750, 0.6250)  4 I 3.02
Na (0.6250, 0.7500, 0.8750)  4 I 3.02
Na (0.0000, 0.0000, 0.0000)  6 I 3.26
Na (0.5000, 0.0000, 0.5000)  6 I 3.26
Na (0.8750, 0.6250, 0.7500)  4 I 3.02
Na (0.5000, 0.5000, 0.0000)  6 I 3.26
Na (0.1250, 0.3750, 0.2500)  4 I 3.02
Na (0.1250, 0.7500, 0.3750)  4 I 3.02
Na (0.0000, 0.5000, 0.0000)  6 I 3.26
Na (0.2500, 0.8750, 0.1250)  4 I 3.02
Na (0.5000, 0.5000, 0.5000)  6 I 3.26
Na (0.8750, 0.2500, 0.6250)  4 I 3.02
Na (0.7500, 0.6250, 0.3750)  4 I 3.02
Na (0.6250, 0.8750, 0.2500)  4 I 3.02
Na (0.0000, 0.0000, 0.5000)  6 I 3.26
Na (0.5000, 0.0000, 0.0000)  6 I 3.26
I (0.7191, 0.1290, 0.0430)  2 Na 3.02-3.26
I (0.6290, 0.0430, 0.2191)  2 Na 3.02-3.26
I (0.0860, 0.1761, 0.4570)  2 Na 3.02-3.26
I (0.4570, 0.7809, 0.8710)  2 Na 3.02-3.26
I (0.4140, 0.0430, 0.3239)  2 Na 3.02-3.26
I (0.2809, 0.8710, 0.9570)  2 Na 3.02-3.26
I (0.2191, 0.6761, 0.0901)  2 Na 3.02-3.26
I (0.4570, 0.6761, 0.0860)  2 Na 3.02-3.26
I (0.0901, 0.1761, 0.2191)  2 Na 3.02-3.26
I (0.0430, 0.4140, 0.8239)  2 Na 3.02-3.26
I (0.0901, 0.9140, 0.3710)  2 Na 3.02-3.26
I (0.9099, 0.8239, 0.7809)  2 Na 3.02-3.26
I (0.4140, 0.3710, 0.5901)  2 Na 3.02-3.26
I (0.1761, 0.0860, 0.9570)  2 Na 3.02-3.26
I (0.4099, 0.1290, 0.5860)  2 Na 3.02-3.26
I (0.7809, 0.4570, 0.3710)  2 Na 3.02-3.26
I (0.5860, 0.6290, 0.4099)  2 Na 3.02-3.26
I (0.1290, 0.4099, 0.0860)  2 Na 3.02-3.26
I (0.7191, 0.5901, 0.1761)  2 Na 3.02-3.26
I (0.9140, 0.0901, 0.8710)  2 Na 3.02-3.26
I (0.2809, 0.4099, 0.8239)  2 Na 3.02-3.26
I (0.9570, 0.5860, 0.1761)  2 Na 3.02-3.26
I (0.3239, 0.5430, 0.4140)  2 Na 3.02-3.26
I (0.5901, 0.8710, 0.4140)  2 Na 3.02-3.26
I (0.6761, 0.4570, 0.5860)  2 Na 3.02-3.26
I (0.4099, 0.2809, 0.3239)  2 Na 3.02-3.26
I (0.7809, 0.3239, 0.9099)  2 Na 3.02-3.26
I (0.3239, 0.7809, 0.4099)  2 Na 3.02-3.26
I (0.9570, 0.3710, 0.2809)  2 Na 3.02-3.26
I (0.8710, 0.2809, 0.4570)  2 Na 3.02-3.26
I (0.1290, 0.7191, 0.5430)  2 Na 3.02-3.26
I (0.5430, 0.3239, 0.9140)  2 Na 3.02-3.26
I (0.0860, 0.9099, 0.1290)  2 Na 3.02-3.26
I (0.5430, 0.2191, 0.1290)  2 Na 3.02-3.26
I (0.8239, 0.9099, 0.2809)  2 Na 3.02-3.26
I (0.0430, 0.6290, 0.7191)  2 Na 3.02-3.26
I (0.3710, 0.4140, 0.0901)  2 Na 3.02-3.26
I (0.9140, 0.8239, 0.5430)  2 Na 3.02-3.26
I (0.8239, 0.9140, 0.0430)  2 Na 3.02-3.26
I (0.6290, 0.5860, 0.9099)  2 Na 3.02-3.26
I (0.6761, 0.2191, 0.5901)  2 Na 3.02-3.26
I (0.5901, 0.7191, 0.6761)  2 Na 3.02-3.26
I (0.9099, 0.0860, 0.6290)  2 Na 3.02-3.26
I (0.2191, 0.5430, 0.6290)  2 Na 3.02-3.26
I (0.3710, 0.9570, 0.7809)  2 Na 3.02-3.26
I (0.1761, 0.0901, 0.7191)  2 Na 3.02-3.26
I (0.5860, 0.9570, 0.6761)  2 Na 3.02-3.26
I (0.8710, 0.5901, 0.9140)  2 Na 3.02-3.26
Ba (0.3750, 0.6250, 0.2500)  8 I 3.63-3.69
Ba (0.7500, 0.3750, 0.1250)  8 I 3.63-3.69
Ba (0.1250, 0.8750, 0.7500)  8 I 3.63-3.69
Ba (0.8750, 0.7500, 0.1250)  8 I 3.63-3.69
Ba (0.6250, 0.3750, 0.7500)  8 I 3.63-3.69
Ba (0.1250, 0.2500, 0.8750)  8 I 3.63-3.69
Ba (0.2500, 0.1250, 0.3750)  8 I 3.63-3.69
Ba (0.7500, 0.8750, 0.6250)  8 I 3.63-3.69
Ba (0.8750, 0.1250, 0.2500)  8 I 3.63-3.69
Ba (0.6250, 0.2500, 0.3750)  8 I 3.63-3.69
Ba (0.2500, 0.6250, 0.8750)  8 I 3.63-3.69
Ba (0.3750, 0.7500, 0.6250)  8 I 3.63-3.69

(10)
Here is crystalline Tm8ZnGe3Se4 at its relaxed geometry from the Alexandria database. Energies are from GGA-PBE.

Computed properties:
The value obtained for the magnetic moment is 0.0 μB/cell. As for the uncorrected formation energy: -1228 meV/atom.

Unit cell a=8.0490 b=8.2367 c=8.0491 alpha=119.25 beta=120.00 gamma=90.00
With the nearest neighbours (Å) after each atom.
Positions (direct):
Zn (0.0000, 0.5000, 0.0000)  6 Tm 2.88
Tm (0.2554, 0.2661, 0.5107)  3 Ge 2.82, 3 Se 2.95
Tm (0.7495, 0.2558, 0.4991)  2 Ge 2.84, 3 Se 2.88-2.92, 1 Zn 2.88
Tm (0.7446, 0.7339, 0.4893)  3 Ge 2.82, 3 Se 2.95
Tm (0.7433, 0.7442, 0.9937)  2 Ge 2.84, 3 Se 2.88-2.92, 1 Zn 2.88
Tm (0.2567, 0.2558, 0.0063)  2 Ge 2.84, 3 Se 2.88-2.92, 1 Zn 2.88
Tm (0.2504, 0.7442, 0.9937)  2 Ge 2.84, 3 Se 2.88-2.92, 1 Zn 2.88
Tm (0.2505, 0.7442, 0.5009)  2 Ge 2.84, 3 Se 2.88-2.92, 1 Zn 2.88
Tm (0.7496, 0.2558, 0.0063)  2 Ge 2.84, 3 Se 2.88-2.92, 1 Zn 2.88
Se (0.5000, 0.0000, 0.5000)  6 Tm 2.92-2.95
Se (0.0000, 0.0000, 0.0000)  6 Tm 2.92-2.95
Se (0.0000, 0.0000, 0.5000)  6 Tm 2.92-2.95
Se (0.5000, 0.0000, 0.0000)  6 Tm 2.88
Ge (0.5000, 0.5000, 0.5000)  6 Tm 2.82-2.84
Ge (0.0000, 0.5000, 0.5000)  6 Tm 2.82-2.84
Ge (0.5000, 0.5000, 0.0000)  6 Tm 2.82-2.84